DFT (PBEsol) results for an optimized crystal structure of CaZrTl2.

Cell: 11.6176 3.3103 5.4238 Å, 90.00 109.09 90.00°
Sites, in units of the cell vectors:
Ca1 0.0000 0.0000 0.0000
Ca2 0.5000 0.5000 0.0000
Zr1 0.2683 0.5000 0.4099
Zr2 0.7683 0.0000 0.4099
Tl1 0.0156 0.5000 0.4931
Tl2 0.2497 0.0000 0.8992
Tl3 0.5156 0.0000 0.4931
Tl4 0.7497 0.5000 0.8992

* calculated volume: 197.1 Å³/cell
* energy of formation from the pure elements: -0.1265 eV per atom
* N(E_F): 6.2 states/eV/cell
* E_tot: -4.2473 eV/atom